DFT (PBE-GGA) results for CaLa2PrSb4 after structural relaxation.

abc: 7.9062 4.6081 7.9877
angles: 90.00 109.67 90.00
Fractional coordinates of all 8 atoms:
Ca  0.0000  0.0000  0.0000
La  0.5000  0.0000  0.5000
La  0.5000  0.5000  0.0000
Pr  0.0000  0.5000  0.5000
Sb  0.2473  0.0000  0.7487
Sb  0.2481  0.5000  0.2500
Sb  0.7519  0.5000  0.7500
Sb  0.7527  0.0000  0.2513

Results
Raw total energy (eV per atom): -5.248
Space group: P2/m
Uncorrected formation energy (eV per formula unit): -8.86



DFT (PBE-GGA) results for Zn3H5Rh12 after structural relaxation.

abc: 10.7504 10.7504 10.7504
angles: 109.47 109.47 109.47
Fractional coordinates of all 80 atoms:
Zn  0.1250  0.2500  0.3750
Zn  0.1250  0.3750  0.7500
Zn  0.2500  0.3750  0.1250
Zn  0.2500  0.8750  0.6250
Zn  0.3750  0.1250  0.2500
Zn  0.3750  0.7500  0.1250
Zn  0.6250  0.2500  0.8750
Zn  0.6250  0.8750  0.7500
Zn  0.7500  0.1250  0.3750
Zn  0.7500  0.6250  0.8750
Zn  0.8750  0.6250  0.2500
Zn  0.8750  0.7500  0.6250
H  0.0000  0.0000  0.0000
H  0.0000  0.0000  0.5000
H  0.0000  0.5000  0.0000
H  0.0000  0.5000  0.5000
H  0.1250  0.7500  0.8750
H  0.1250  0.8750  0.2500
H  0.2500  0.1250  0.8750
H  0.2500  0.6250  0.3750
H  0.3750  0.2500  0.6250
H  0.3750  0.6250  0.7500
H  0.5000  0.0000  0.0000
H  0.5000  0.0000  0.5000
H  0.5000  0.5000  0.0000
H  0.5000  0.5000  0.5000
H  0.6250  0.3750  0.2500
H  0.6250  0.7500  0.3750
H  0.7500  0.3750  0.6250
H  0.7500  0.8750  0.1250
H  0.8750  0.1250  0.7500
H  0.8750  0.2500  0.1250
Rh  0.0087  0.1965  0.1032
Rh  0.0087  0.3122  0.9055
Rh  0.0933  0.6965  0.6878
Rh  0.0933  0.8968  0.4055
Rh  0.0945  0.6032  0.4067
Rh  0.0945  0.9913  0.6878
Rh  0.1032  0.0087  0.1965
Rh  0.1032  0.5945  0.9067
Rh  0.1878  0.1965  0.5933
Rh  0.1878  0.4913  0.5945
Rh  0.1965  0.1032  0.0087
Rh  0.1965  0.5933  0.1878
Rh  0.3035  0.3122  0.9067
Rh  0.3035  0.4913  0.3968
Rh  0.3122  0.9055  0.0087
Rh  0.3122  0.9067  0.3035
Rh  0.3968  0.3035  0.4913
Rh  0.3968  0.5933  0.9055
Rh  0.4055  0.0933  0.8968
Rh  0.4055  0.8122  0.5087
Rh  0.4067  0.0945  0.6032
Rh  0.4067  0.8122  0.8035
Rh  0.4913  0.3968  0.3035
Rh  0.4913  0.5945  0.1878
Rh  0.5087  0.4055  0.8122
Rh  0.5087  0.6032  0.6965
Rh  0.5933  0.1878  0.1965
Rh  0.5933  0.9055  0.3968
Rh  0.5945  0.1878  0.4913
Rh  0.5945  0.9067  0.1032
Rh  0.6032  0.4067  0.0945
Rh  0.6032  0.6965  0.5087
Rh  0.6878  0.0933  0.6965
Rh  0.6878  0.0945  0.9913
Rh  0.6965  0.5087  0.6032
Rh  0.6965  0.6878  0.0933
Rh  0.8035  0.4067  0.8122
Rh  0.8035  0.8968  0.9913
Rh  0.8122  0.5087  0.4055
Rh  0.8122  0.8035  0.4067
Rh  0.8968  0.4055  0.0933
Rh  0.8968  0.9913  0.8035
Rh  0.9055  0.0087  0.3122
Rh  0.9055  0.3968  0.5933
Rh  0.9067  0.1032  0.5945
Rh  0.9067  0.3035  0.3122
Rh  0.9913  0.6878  0.0945
Rh  0.9913  0.8035  0.8968

Results
Raw total energy (eV per atom): -5.317
Space group: Ia-3d



DFT (PBE-GGA) results for La3CrPt after structural relaxation.

abc: 5.1661 5.1661 5.1661
angles: 90.00 90.00 90.00
Fractional coordinates of all 5 atoms:
La  0.0000  0.0000  0.5000
La  0.0000  0.5000  0.0000
La  0.5000  0.0000  0.0000
Cr  0.0000  0.0000  0.0000
Pt  0.5000  0.5000  0.5000

Results
Raw total energy (eV per atom): -5.983
Space group: Pm-3m
E_form (eV/atom): 0.106



DFT (PBE-GGA) results for MgSiO2F after structural relaxation.

abc: 3.9538 3.9538 3.6730
angles: 90.00 90.00 90.00
Fractional coordinates of all 5 atoms:
Mg  0.0000  0.0000  0.0000
Si  0.5000  0.5000  0.5000
O  0.0000  0.5000  0.0000
O  0.5000  0.0000  0.0000
F  0.0000  0.0000  0.5000

Results
Raw total energy (eV per atom): -4.944
Space group: P4/mmm
Uncorrected formation energy (eV per formula unit): -5.91



DFT (PBE-GGA) results for CeDy2Ho4Tm after structural relaxation.

abc: 6.0952 3.5206 11.6759
angles: 90.00 100.05 90.00
Fractional coordinates of all 8 atoms:
Ce  0.0000  0.0000  0.0000
Dy  0.5000  0.0000  0.5000
Dy  0.5000  0.5000  0.0000
Ho  0.2465  0.5000  0.2493
Ho  0.2473  0.0000  0.7495
Ho  0.7527  0.0000  0.2505
Ho  0.7535  0.5000  0.7507
Tm  0.0000  0.5000  0.5000

Results
Raw total energy (eV per atom): -4.699
Space group: P2/m
E_form (eV/atom): 0.041



DFT (PBE-GGA) results for NaInI3 after structural relaxation.

abc: 6.0842 6.0842 6.0842
angles: 90.00 90.00 90.00
Fractional coordinates of all 5 atoms:
Na  0.0000  0.0000  0.0000
In  0.5000  0.5000  0.5000
I  0.0000  0.5000  0.5000
I  0.5000  0.0000  0.5000
I  0.5000  0.5000  0.0000

Results
Raw total energy (eV per atom): -2.354
Space group: Pm-3m
Uncorrected formation energy (eV per formula unit): -3.06



DFT (PBE-GGA) results for ZrSbCl2 after structural relaxation.

abc: 6.9532 6.9532 6.9532
angles: 90.00 90.00 90.00
Fractional coordinates of all 16 atoms:
Zr  0.0000  0.0000  0.0000
Zr  0.0000  0.5000  0.5000
Zr  0.5000  0.0000  0.5000
Zr  0.5000  0.5000  0.0000
Sb  0.0000  0.0000  0.5000
Sb  0.0000  0.5000  0.0000
Sb  0.5000  0.0000  0.0000
Sb  0.5000  0.5000  0.5000
Cl  0.2500  0.2500  0.2500
Cl  0.2500  0.2500  0.7500
Cl  0.2500  0.7500  0.2500
Cl  0.2500  0.7500  0.7500
Cl  0.7500  0.2500  0.2500
Cl  0.7500  0.2500  0.7500
Cl  0.7500  0.7500  0.2500
Cl  0.7500  0.7500  0.7500

Results
Raw total energy (eV per atom): -4.298
Distance to the lowest polymorph of the same formula (eV per formula unit): 3.47
Space group: Fm-3m
Uncorrected formation energy (eV per formula unit): -0.83



DFT (PBE-GGA) results for Li2CuI2Br after structural relaxation.

abc: 7.6448 7.6448 7.0266
angles: 90.00 90.00 58.84
Fractional coordinates of all 12 atoms:
Li  0.0306  0.6615  0.5000
Li  0.3385  0.9694  0.5000
Li  0.6615  0.0306  0.0000
Li  0.9694  0.3385  0.0000
Cu  0.3360  0.6640  0.0250
Cu  0.6640  0.3360  0.5250
I  0.0142  0.6658  0.8966
I  0.3342  0.9858  0.8966
I  0.6658  0.0142  0.3966
I  0.9858  0.3342  0.3966
Br  0.3538  0.6462  0.3805
Br  0.6462  0.3538  0.8805

Results
Raw total energy (eV per atom): -3.033
Space group: Cmc2_1
Uncorrected formation energy (eV per formula unit): -5.50